1:
Compound: NaLi2In8
Source: Alexandria via LeMat-Bulk
Functional: GGA-PBE
Structure: relaxed

For the size of the total moment, the calculation gives 0.00 μB per cell.

The structure belongs to space group Immm (No. 71); the cell edges are 4.405, 8.921 and 13.802 Å and the angles 90.00°, 90.00° and 90.00°. The inequivalent atoms are Na at (0.000, 0.000, 0.000), Li at (0.000, 0.000, 0.311), In at (0.000, 0.180, 0.500), In at (0.000, 0.271, 0.160) and In at (0.000, 0.500, 0.335).


2:
Compound: NaLi2In8
Source: Alexandria via LeMat-Bulk
Functional: GGA-PBE
Structure: relaxed

For the size of the total moment, the calculation gives 0.00 μB per cell.

The structure belongs to space group C2/m (No. 12); the cell edges are 8.398, 13.429 and 5.167 Å and the angles 90.00°, 108.78° and 90.00°. The inequivalent atoms are Na at (0.000, 0.000, 0.000), Li at (0.000, 0.310, 0.500), In at (0.000, 0.236, 0.000), In at (0.112, 0.500, 0.802) and In at (0.204, 0.121, 0.625).


Name the most stable of them. 1.


1:
Compound: Na3LiIn
Source: Alexandria via LeMat-Bulk
Functional: GGA-PBE
Structure: relaxed

For the size of the total moment, the calculation gives 0.00 μB per cell.

The structure belongs to space group Pm-3m (No. 221); the cell edges are 5.531, 5.531 and 5.531 Å and the angles 90.00°, 90.00° and 90.00°. The inequivalent atoms are Na at (0.000, 0.000, 0.500), Li at (0.000, 0.000, 0.000) and In at (0.500, 0.500, 0.500).


2:
Compound: Na3LiIn
Source: Alexandria via LeMat-Bulk
Functional: GGA-PBE
Structure: relaxed

For the size of the total moment, the calculation gives 0.00 μB per cell.

The structure belongs to space group Amm2 (No. 38); the cell edges are 3.311, 5.675 and 16.628 Å and the angles 90.00°, 90.00° and 90.00°. The inequivalent atoms are Na at (0.000, 0.000, 0.000), Na at (0.500, 0.247, 0.820), Li at (0.500, 0.000, 0.158) and In at (0.000, 0.000, 0.649).


Name the most stable of them. 2.


1:
Compound: Na3LiIn
Source: Alexandria via LeMat-Bulk
Functional: GGA-PBE
Structure: relaxed

For the size of the total moment, the calculation gives 0.00 μB per cell.

The structure belongs to space group Pm-3m (No. 221); the cell edges are 5.926, 5.926 and 5.926 Å and the angles 90.00°, 90.00° and 90.00°. The inequivalent atoms are Na at (0.000, 0.000, 0.500), Li at (0.500, 0.500, 0.500) and In at (0.000, 0.000, 0.000).


2:
Compound: Na3LiIn
Source: Alexandria via LeMat-Bulk
Functional: GGA-PBE
Structure: relaxed

For the size of the total moment, the calculation gives 0.00 μB per cell.

The structure belongs to space group P2/c (No. 13); the cell edges are 8.725, 6.417 and 10.693 Å and the angles 90.00°, 103.62° and 90.00°. The inequivalent atoms are Na at (0.002, 0.230, 0.408), Na at (0.204, 0.271, 0.799), Na at (0.371, 0.472, 0.583), Li at (0.366, 0.011, 0.063) and In at (0.339, 0.202, 0.306).


Name the most stable of them. 2.


1:
Compound: NaLi2In3
Source: Alexandria via LeMat-Bulk
Functional: GGA-PBE
Structure: relaxed

For the size of the total moment, the calculation gives 0.00 μB per cell.

The structure belongs to space group P-62m (No. 189); the cell edges are 6.1958, 6.1958 and 4.5215 Å and the angles 90.00°, 90.00° and 120.00°. The inequivalent atoms are Na at (0.0000, 0.0000, 0.0000), Li at (0.3333, 0.6667, 0.0000) and In at (0.0000, 0.4929, 0.5000).


2:
Compound: NaLi2In3
Source: Alexandria via LeMat-Bulk
Functional: GGA-PBE
Structure: relaxed

For the size of the total moment, the calculation gives 0.00 μB per cell.

The structure belongs to space group Cmcm (No. 63); the cell edges are 11.159, 9.965 and 5.483 Å and the angles 90.00°, 90.00° and 90.00°. The inequivalent atoms are Na at (0.000, 0.180, 0.250), Li at (0.225, 0.500, 0.000), In at (0.000, 0.437, 0.750) and In at (0.190, 0.234, 0.750).


Name the most stable of them. 2.


1:
Compound: NaLiIn3
Source: Alexandria via LeMat-Bulk
Functional: GGA-PBE
Structure: relaxed

For the size of the total moment, the calculation gives 0.00 μB per cell.

The structure belongs to space group Pm-3m (No. 221); the cell edges are 5.121, 5.121 and 5.121 Å and the angles 90.00°, 90.00° and 90.00°. The inequivalent atoms are Na at (0.000, 0.000, 0.000), Li at (0.500, 0.500, 0.500) and In at (0.000, 0.500, 0.500).


2:
Compound: NaLiIn3
Source: Alexandria via LeMat-Bulk
Functional: GGA-PBE
Structure: relaxed

For the size of the total moment, the calculation gives 0.00 μB per cell.

The structure belongs to space group Pm-3m (No. 221); the cell edges are 5.528, 5.528 and 5.528 Å and the angles 90.00°, 90.00° and 90.00°. The inequivalent atoms are Na at (0.000, 0.000, 0.000), Li at (0.500, 0.500, 0.500) and In at (0.000, 0.000, 0.500).


3:
Compound: NaLiIn3
Source: Alexandria via LeMat-Bulk
Functional: GGA-PBE
Structure: relaxed

For the size of the total moment, the calculation gives 0.00 μB per cell.

The structure belongs to space group P2_1/m (No. 11); the cell edges are 7.132, 4.516 and 8.124 Å and the angles 90.00°, 107.23° and 90.00°. The inequivalent atoms are Na at (0.176, 0.250, 0.156), Li at (0.488, 0.250, 0.754), In at (0.071, 0.250, 0.658), In at (0.320, 0.750, 0.895) and In at (0.357, 0.750, 0.527).


Name the most stable of them. 3.


1:
Compound: RbNa2LiIn
Source: Alexandria via LeMat-Bulk
Functional: GGA-PBE
Structure: relaxed

For the size of the total moment, the calculation gives 0.00 μB per cell.

The structure belongs to space group P4/mmm (No. 123); the cell edges are 5.850, 5.850 and 5.447 Å and the angles 90.00°, 90.00° and 90.00°. The inequivalent atoms are Rb at (0.000, 0.000, 0.000), Na at (0.000, 0.500, 0.500), Li at (0.500, 0.500, 0.500) and In at (0.500, 0.500, 0.000).


2:
Compound: RbNa2LiIn
Source: Alexandria via LeMat-Bulk
Functional: GGA-PBE
Structure: relaxed

For the size of the total moment, the calculation gives 0.00 μB per cell.

The structure belongs to space group P4/mmm (No. 123); the cell edges are 6.047, 6.047 and 5.573 Å and the angles 90.00°, 90.00° and 90.00°. The inequivalent atoms are Rb at (0.000, 0.000, 0.000), Na at (0.000, 0.500, 0.500), Li at (0.500, 0.500, 0.000) and In at (0.500, 0.500, 0.500).


Name the most stable of them. 2.